Ac4Tl2Ge, relaxed, DFT PBE-GGA; offset from the most stable computed form = 0.068 eV/atom; energy of formation from the pure elements = -0.323 eV per atom; symmetry = C2/m (12)
1.0
18.568 0.000 0.000
0.000 4.314 0.000
-2.476 0.000 6.741
Ac Tl Ge
8 4 2
Direct
0.093 0.000 0.447
0.122 0.500 0.980
0.378 0.000 0.020
0.407 0.500 0.553
0.593 0.500 0.447
0.622 0.000 0.980
0.878 0.500 0.020
0.907 0.000 0.553
0.242 0.500 0.676
0.258 0.000 0.324
0.742 0.000 0.676
0.758 0.500 0.324
0.000 0.000 0.000
0.500 0.500 0.000